1.
First-principles (PBE) data for HfMg6SnO8 after structural relaxation, as listed in Alexandria via LeMat-Bulk.

a b c (Å): 4.502 4.502 9.016
angles (deg): 90.00 90.00 90.00
Space group P4/mmm (No. 123)
Inequivalent atoms, fractional coordinates:
Hf: 0.000 0.000 0.000 (multiplicity 1)
Mg: 0.000 0.000 0.500 (multiplicity 1)
Mg: 0.000 0.500 0.269 (multiplicity 4)
Mg: 0.500 0.500 0.500 (multiplicity 1)
Sn: 0.500 0.500 0.000 (multiplicity 1)
O: 0.000 0.000 0.259 (multiplicity 2)
O: 0.000 0.500 0.000 (multiplicity 2)
O: 0.000 0.500 0.500 (multiplicity 2)
O: 0.500 0.500 0.275 (multiplicity 2)

Values from the calculation:
As for the crystal system: tetragonal. The offset from the most stable computed form comes out at 0.0211 eV/atom.

***

2.
First-principles (PBE) data for HfMg6SnO8 after structural relaxation, as listed in Alexandria via LeMat-Bulk.

a b c (Å): 4.359 4.359 10.250
angles (deg): 90.00 90.00 90.00
Space group P4/mmm (No. 123)
Inequivalent atoms, fractional coordinates:
Hf: 0.000 0.000 0.000 (multiplicity 1)
Mg: 0.000 0.500 0.272 (multiplicity 4)
Mg: 0.500 0.500 0.000 (multiplicity 1)
Mg: 0.500 0.500 0.500 (multiplicity 1)
Sn: 0.000 0.000 0.500 (multiplicity 1)
O: 0.000 0.000 0.201 (multiplicity 2)
O: 0.000 0.500 0.000 (multiplicity 2)
O: 0.000 0.500 0.500 (multiplicity 2)
O: 0.500 0.500 0.280 (multiplicity 2)

Values from the calculation:
As for the crystal system: tetragonal. The offset from the most stable computed form comes out at 0.0000 eV/atom.

***

3.
First-principles (PBE) data for SrHf2Mg2O7 after structural relaxation, as listed in Alexandria via LeMat-Bulk.

a b c (Å): 4.160 4.160 17.592
angles (deg): 90.00 90.00 90.00
Space group I4/mmm (No. 139)
Inequivalent atoms, fractional coordinates:
Sr: 0.000 0.000 0.000 (multiplicity 2)
Hf: 0.000 0.000 0.384 (multiplicity 4)
Mg: 0.000 0.500 0.250 (multiplicity 4)
O: 0.000 0.000 0.264 (multiplicity 4)
O: 0.000 0.000 0.500 (multiplicity 2)
O: 0.000 0.500 0.119 (multiplicity 8)

Values from the calculation:
The energy is -8.1052 eV/atom. As for the crystal system: tetragonal.

***

4.
First-principles (PBE) data for HfMgTeO6 after structural relaxation, as listed in Alexandria via LeMat-Bulk.

a b c (Å): 5.2956 5.2956 9.1182
angles (deg): 90.00 90.00 120.00
Space group P-31c (No. 163)
Inequivalent atoms, fractional coordinates:
Hf: 0.3333 0.6667 0.2500 (multiplicity 2)
Mg: 0.0000 0.0000 0.0000 (multiplicity 2)
Te: 0.3333 0.6667 0.7500 (multiplicity 2)
O: 0.0200 0.3613 0.6328 (multiplicity 12)

Values from the calculation:
The energy is -7.1025 eV/atom. As for the crystal system: trigonal.

***

5.
First-principles (PBE) data for HfMg6TiO8 after structural relaxation, as listed in Alexandria via LeMat-Bulk.

a b c (Å): 4.374 4.374 8.750
angles (deg): 90.00 90.00 90.00
Space group P4/mmm (No. 123)
Inequivalent atoms, fractional coordinates:
Hf: 0.000 0.000 0.000 (multiplicity 1)
Mg: 0.000 0.500 0.259 (multiplicity 4)
Mg: 0.500 0.500 0.000 (multiplicity 1)
Mg: 0.500 0.500 0.500 (multiplicity 1)
Ti: 0.000 0.000 0.500 (multiplicity 1)
O: 0.000 0.000 0.249 (multiplicity 2)
O: 0.000 0.500 0.000 (multiplicity 2)
O: 0.000 0.500 0.500 (multiplicity 2)
O: 0.500 0.500 0.252 (multiplicity 2)

Values from the calculation:
As for the crystal system: tetragonal. The offset from the most stable computed form comes out at 0.0816 eV/atom.

***

6.
First-principles (PBE) data for Hf2MgTiO after structural relaxation, as listed in Alexandria via LeMat-Bulk.

a b c (Å): 4.511 4.511 4.117
angles (deg): 90.00 90.00 90.00
Space group P4/mmm (No. 123)
Inequivalent atoms, fractional coordinates:
Hf: 0.000 0.500 0.000 (multiplicity 2)
Mg: 0.000 0.000 0.500 (multiplicity 1)
Ti: 0.500 0.500 0.500 (multiplicity 1)
O: 0.500 0.500 0.000 (multiplicity 1)

Values from the calculation:
The energy is -7.8074 eV/atom. As for the crystal system: tetragonal.